Arrangement a

Computed, not measured: a relaxed LiCuPt2 crystal at the PBEsol level of DFT.

DOS(E_F) = 0.87 states/eV per atom
Calculated volume = 51.3 Å³ per cell
Symmetry = Fm-3m (225)

Cell: 4.1719 4.1719 4.1719 Å, 60.00 60.00 60.00°
With the nearest neighbours (Å) after each atom.
Fractional coordinates of all 4 atoms:
Pt: 0.2500 0.2500 0.2500  4 Li 2.55, 4 Cu 2.55
Pt: 0.7500 0.7500 0.7500  4 Li 2.55, 4 Cu 2.55
Cu: 0.0000 0.0000 0.0000  8 Pt 2.55
Li: 0.5000 0.5000 0.5000  8 Pt 2.55


Arrangement b

Computed, not measured: a relaxed LiCuPt2 crystal at the PBEsol level of DFT.

DOS(E_F) = 0.88 states/eV per atom
Calculated volume = 51.0 Å³ per cell
Symmetry = P4/mmm (123)

Cell: 2.9422 2.9422 5.8924 Å, 90.00 90.00 90.00°
With the nearest neighbours (Å) after each atom.
Fractional coordinates of all 4 atoms:
Pt: 0.0000 0.0000 0.2573  4 Li 2.52, 4 Cu 2.57
Pt: 0.0000 0.0000 0.7427  4 Li 2.52, 4 Cu 2.57
Li: 0.5000 0.5000 0.5000  8 Pt 2.52
Cu: 0.5000 0.5000 0.0000  8 Pt 2.57


We find arrangement a to be the most stable, with the next structure 0.022 eV/atom higher.


Arrangement a

Computed, not measured: a relaxed LiCuPt2 crystal at the PBEsol level of DFT.

DOS(E_F) = 0.38 states/eV per atom
Calculated volume = 54.3 Å³ per cell
Symmetry = P2/m (10)

Cell: 2.6658 4.3113 4.7308 Å, 90.00 92.09 90.00°
With the nearest neighbours (Å) after each atom.
Fractional coordinates of all 4 atoms:
Pt: 0.2476 0.0000 0.2507  2 Li 2.56, 2 Cu 2.56, 6 Pt 2.67-2.77
Pt: 0.7524 0.0000 0.7493  2 Li 2.56, 2 Cu 2.56, 6 Pt 2.67-2.77
Cu: 0.5000 0.5000 0.0000  4 Pt 2.56, 2 Cu 2.67, 4 Li 2.67-2.76
Li: 0.0000 0.5000 0.5000  4 Pt 2.56, 2 Li 2.67, 4 Cu 2.67-2.76


Arrangement b

Computed, not measured: a relaxed LiCuPt2 crystal at the PBEsol level of DFT.

DOS(E_F) = 0.76 states/eV per atom
Calculated volume = 53.4 Å³ per cell
Symmetry = Cm (8)

Cell: 2.7059 4.4641 4.6921 Å, 99.98 106.76 90.00°
With the nearest neighbours (Å) after each atom.
Fractional coordinates of all 4 atoms:
Pt: 0.9961 0.0058 0.9922  4 Cu 2.59-2.63, 3 Li 2.64-2.70, 5 Pt 2.68-2.75
Pt: 0.2495 0.7414 0.4990  4 Li 2.58-2.64, 3 Cu 2.63-2.70, 5 Pt 2.68-2.75
Li: 0.7494 0.2482 0.4989  7 Pt 2.58-2.70, 3 Cu 2.65-2.73, 2 Li 2.71
Cu: 0.5050 0.5046 0.0099  7 Pt 2.59-2.70, 3 Li 2.65-2.73, 2 Cu 2.71


Arrangement c

Computed, not measured: a relaxed LiCuPt2 crystal at the PBEsol level of DFT.

DOS(E_F) = 0.99 states/eV per atom
Calculated volume = 52.6 Å³ per cell
Symmetry = P4/mmm (123)

Cell: 3.6129 3.8147 3.8147 Å, 90.00 90.00 90.00°
With the nearest neighbours (Å) after each atom.
Fractional coordinates of all 4 atoms:
Li: 0.5000 0.0000 0.0000  8 Pt 2.63, 4 Cu 2.70
Pt: 0.0000 0.5000 0.0000  4 Cu 2.63, 4 Li 2.63, 4 Pt 2.70
Pt: 0.0000 0.0000 0.5000  4 Cu 2.63, 4 Li 2.63, 4 Pt 2.70
Cu: 0.5000 0.5000 0.5000  8 Pt 2.63, 4 Li 2.70


We find arrangement c to be the most stable, with the next structure 0.009 eV/atom higher.


Arrangement a

Computed, not measured: a relaxed LiCuPt2 crystal at the PBEsol level of DFT.

DOS(E_F) = 0.48 states/eV per atom
Calculated volume = 53.9 Å³ per cell
Symmetry = R-3m (166)

Cell: 2.6934 2.6934 8.7152 Å, 81.11 81.11 60.00°
With the nearest neighbours (Å) after each atom.
Fractional coordinates of all 4 atoms:
Li: 0.0000 0.0000 0.0000  6 Pt 2.65, 6 Li 2.69
Pt: 0.7502 0.7502 0.7493  3 Cu 2.64, 3 Li 2.65, 6 Pt 2.69
Pt: 0.2497 0.2497 0.2508  3 Cu 2.64, 3 Li 2.65, 6 Pt 2.69
Cu: 0.5000 0.5000 0.5000  6 Pt 2.64, 6 Cu 2.69


Arrangement b

Computed, not measured: a relaxed LiCuPt2 crystal at the PBEsol level of DFT.

DOS(E_F) = 0.39 states/eV per atom
Calculated volume = 54.2 Å³ per cell
Symmetry = C2/m (12)

Cell: 2.6722 4.7363 5.0486 Å, 117.21 104.11 92.56°
With the nearest neighbours (Å) after each atom.
Fractional coordinates of all 4 atoms:
Pt: 0.0000 0.0000 0.5000  2 Li 2.55, 2 Cu 2.55, 6 Pt 2.67-2.77
Pt: 0.5000 0.5000 0.5000  2 Cu 2.55, 2 Li 2.55, 6 Pt 2.67-2.77
Cu: 0.5000 0.0000 0.0000  4 Pt 2.55, 4 Li 2.67-2.77, 2 Cu 2.67
Li: 0.0000 0.5000 0.0000  4 Pt 2.55, 4 Cu 2.67-2.77, 2 Li 2.67


We find arrangement a to be the most stable, with the next structure 0.025 eV/atom higher.


Arrangement a

Computed, not measured: a relaxed LiCuPt2 crystal at the PBEsol level of DFT.

DOS(E_F) = 0.90 states/eV per atom
Calculated volume = 52.6 Å³ per cell
Symmetry = I4/mmm (139)

Cell: 3.8306 3.8306 4.4939 Å, 115.23 115.23 90.00°
With the nearest neighbours (Å) after each atom.
Fractional coordinates of all 4 atoms:
Li: 0.0000 0.0000 0.0000  8 Pt 2.62, 4 Cu 2.71
Pt: 0.7500 0.2500 0.5000  4 Li 2.62, 4 Cu 2.62, 4 Pt 2.71
Pt: 0.2500 0.7500 0.5000  4 Li 2.62, 4 Cu 2.62, 4 Pt 2.71
Cu: 0.5000 0.5000 0.0000  8 Pt 2.62, 4 Li 2.71


Arrangement b

Computed, not measured: a relaxed LiCuPt2 crystal at the PBEsol level of DFT.

DOS(E_F) = 0.31 states/eV per atom
Calculated volume = 54.5 Å³ per cell
Symmetry = Immm (71)

Cell: 2.7604 4.5651 5.0844 Å, 116.68 105.75 90.00°
With the nearest neighbours (Å) after each atom.
Fractional coordinates of all 4 atoms:
Pt: 0.2476 0.2476 0.4951  2 Cu 2.55, 2 Li 2.58, 6 Pt 2.67-2.76
Pt: 0.7524 0.7524 0.5049  2 Cu 2.55, 2 Li 2.58, 6 Pt 2.67-2.76
Li: 0.0000 0.5000 0.0000  4 Pt 2.58, 4 Cu 2.67, 2 Li 2.76
Cu: 0.5000 0.0000 0.0000  4 Pt 2.55, 4 Li 2.67, 2 Cu 2.76


We find arrangement b to be the most stable, with the next structure 0.006 eV/atom higher.


Arrangement a

Computed, not measured: a relaxed LiCuPt crystal at the PBEsol level of DFT.

DOS(E_F) = 0.27 states/eV per atom
Calculated volume = 38.6 Å³ per cell
Symmetry = Imm2 (44)

Cell: 2.6494 3.7945 4.4796 Å, 115.06 107.20 90.00°
With the nearest neighbours (Å) after each atom.
Fractional coordinates of all 3 atoms:
Li: 0.6685 0.6685 0.3370  5 Cu 2.51-2.67, 5 Pt 2.55-2.65, 2 Li 2.65
Pt: 0.3357 0.3357 0.6715  5 Li 2.55-2.65, 5 Cu 2.61-2.62, 2 Pt 2.65
Cu: 0.9958 0.9958 0.9916  5 Li 2.51-2.67, 5 Pt 2.61-2.62, 2 Cu 2.65


Arrangement b

Computed, not measured: a relaxed LiCuPt crystal at the PBEsol level of DFT.

DOS(E_F) = 0.38 states/eV per atom
Calculated volume = 37.8 Å³ per cell
Symmetry = P3m1 (156)

Cell: 2.6099 4.0888 4.0888 Å, 120.00 90.00 90.00°
With the nearest neighbours (Å) after each atom.
Fractional coordinates of all 3 atoms:
Li: 0.7882 0.3333 0.6667  3 Cu 2.37, 2 Li 2.61, 3 Pt 2.63
Pt: 0.3410 0.6667 0.3333  2 Pt 2.61, 6 Li 2.63-2.77, 6 Cu 2.66-2.74
Cu: 0.8708 0.0000 0.0000  3 Li 2.37, 2 Cu 2.61


We find arrangement b to be the most stable, with the next structure 0.005 eV/atom higher.